# 1
An optimized crystal structure of DyPu2PaBi5, computed with GGA-PBE.

Lattice parameters (Å, degrees): 5.6731 5.6731 11.7949 90.00 90.00 90.00
Fractional coordinates of all 9 atoms:
Dy (0.0000, 0.0000, 0.0000)
Pu (0.5000, 0.5000, 0.2866)
Pu (0.5000, 0.5000, 0.7134)
Pa (0.0000, 0.0000, 0.5000)
Bi (0.0000, 0.0000, 0.2472)
Bi (0.0000, 0.0000, 0.7528)
Bi (0.0000, 0.5000, 0.5000)
Bi (0.5000, 0.0000, 0.5000)
Bi (0.5000, 0.5000, 0.0000)

Output
Formation enthalpy at 0 K ... 0.248 eV/atom
Symmetry ... No. 123
Raw total energy ... -59.94 eV/cell

# 2
An optimized crystal structure of DyPu2PaBi4, computed with GGA-PBE.

Lattice parameters (Å, degrees): 7.8005 4.5194 7.8211 90.00 109.48 90.00
Fractional coordinates of all 8 atoms:
Dy (0.0000, 0.0000, 0.0000)
Pu (0.0000, 0.5000, 0.5000)
Pu (0.5000, 0.0000, 0.5000)
Pa (0.5000, 0.5000, 0.0000)
Bi (0.2495, 0.5000, 0.2446)
Bi (0.2523, 0.0000, 0.7559)
Bi (0.7477, 0.0000, 0.2441)
Bi (0.7505, 0.5000, 0.7554)

Output
Formation enthalpy at 0 K ... -0.423 eV/atom
Symmetry ... No. 10
Raw total energy ... -61.67 eV/cell